# PBE Pm7Ni2Pd2, optimized geometry
data_Pm7Ni2Pd2
_chemical_formula_sum 'Pm14 Ni4 Pd4'
_cell_length_a 7.6385
_cell_length_b 11.2664
_cell_length_c 6.9587
_cell_angle_alpha 90.00
_cell_angle_beta 90.00
_cell_angle_gamma 90.00
_space_group_name_H-M_alt 'C m m m'
_space_group_IT_number 65
_space_group_name_Hall '-C 2 2'
loop_
_atom_site_label
_atom_site_type_symbol
_atom_site_fract_x
_atom_site_fract_y
_atom_site_fract_z
Pm1 Pm 0.0000 0.0000 0.0000
Pm2 Pm 0.0000 0.5000 0.2530
Pm3 Pm 0.2500 0.2500 0.2619
Ni1 Ni 0.0000 0.2965 0.0000
Pd1 Pd 0.1823 0.0000 0.5000
# DFT total energy (eV per cell): -115.62
# D(E_F) (states/eV/atom): 0.988
# E_form (meV per atom): -237